[1]
The following is a DFT calculation (PBE) of a geometry-optimized Pa6PS8 structure.

Unit cell a=6.8029 b=6.8029 c=29.3845 alpha=90.00 beta=90.00 gamma=120.00
Space group R-3 (No. 148, hexagonal axes)
One atom of each set of equivalent atoms:
Pa 0.0000 0.3343 0.0534 x18
P 0.0000 0.0000 0.0000 x3
S 0.0000 0.0000 0.3333 x6
S 0.0000 0.3316 0.8960 x18

Calculated values
Magnetization = 0.0 Bohr magnetons per cell
Crystal system = trigonal
Electronic total energy = -119.29 eV per formula unit

***

[2]
The following is a DFT calculation (PBE) of a geometry-optimized Ho3TmTl2C2 structure.

Unit cell a=3.5888 b=3.5888 c=16.1709 alpha=90.00 beta=90.00 gamma=120.00
Space group P3m1 (No. 156)
One atom of each set of equivalent atoms:
Ho 0.0000 0.0000 0.0000 x1
Ho 0.0000 0.0000 0.3356 x1
Ho 0.6667 0.3333 0.8341 x1
Tm 0.6667 0.3333 0.4999 x1
Tl 0.0000 0.0000 0.6661 x1
Tl 0.6667 0.3333 0.1675 x1
C 0.3333 0.6667 0.4182 x1
C 0.3333 0.6667 0.9172 x1

Calculated values
Magnetization = 0.2 Bohr magnetons per cell
Crystal system = trigonal
Electronic total energy = -44.53 eV per formula unit

***

[3]
The following is a DFT calculation (PBE) of a geometry-optimized PrHgPO structure.

Unit cell a=4.191 b=4.191 c=8.980 alpha=90.00 beta=90.00 gamma=90.00
Space group P4/nmm (No. 129, origin choice 2)
One atom of each set of equivalent atoms:
Pr 0.250 0.250 0.128 x2
Hg 0.250 0.750 0.500 x2
P 0.250 0.250 0.698 x2
O 0.250 0.750 0.000 x2

Calculated values
Magnetization = 0.0 Bohr magnetons per cell
Crystal system = tetragonal
Electronic total energy = -21.37 eV per formula unit